Material: Y2CuMo
Method: DFT, GGA-PBEsol
State: relaxed

Unit cell a=3.313 b=4.787 c=5.955 alpha=113.70 beta=106.15 gamma=90.00
Sites, in units of the cell vectors:
Cu1 0.528 0.528 0.055
Mo1 0.212 0.712 0.425
Y1 0.986 0.986 0.971
Y2 0.774 0.274 0.549

Results
E_form (eV/atom): 0.2416
N(E_F) (states/eV per atom): 1.11
VASP energy (eV for the cell shown): -28.8

***

Material: NbCrO4
Method: DFT, GGA-PBEsol
State: relaxed

Unit cell a=4.505 b=4.892 c=11.513 alpha=90.00 beta=90.00 gamma=90.00
Sites, in units of the cell vectors:
Nb1 0.000 0.750 0.171
Nb2 0.500 0.250 0.329
Nb3 0.500 0.750 0.671
Nb4 0.000 0.250 0.829
O1 0.270 0.420 0.189
O2 0.230 0.920 0.311
O3 0.236 0.420 0.441
O4 0.736 0.080 0.941
O5 0.736 0.580 0.059
O6 0.264 0.920 0.059
O7 0.770 0.580 0.311
O8 0.770 0.080 0.689
O9 0.236 0.920 0.559
O10 0.270 0.920 0.811
O11 0.764 0.580 0.559
O12 0.264 0.420 0.941
O13 0.730 0.580 0.811
O14 0.230 0.420 0.689
O15 0.764 0.080 0.441
O16 0.730 0.080 0.189
Cr1 0.000 0.250 0.566
Cr2 0.000 0.750 0.434
Cr3 0.500 0.750 0.934
Cr4 0.500 0.250 0.066

Results
Energy relative to the elements, uncorrected (eV/atom): -2.2853
N(E_F) (states/eV per atom): 0.03
VASP energy (eV for the cell shown): -223.1

***

Material: BeZnFe6
Method: DFT, GGA-PBEsol
State: relaxed

Unit cell a=6.062 b=6.062 c=10.117 alpha=90.00 beta=90.00 gamma=113.22
Sites, in units of the cell vectors:
Fe1 0.383 0.137 0.630
Fe2 0.383 0.137 0.370
Fe3 0.137 0.383 0.630
Fe4 0.617 0.863 0.370
Fe5 0.385 0.131 0.880
Fe6 0.249 0.751 0.757
Fe7 0.249 0.751 0.243
Fe8 0.863 0.617 0.370
Fe9 0.131 0.385 0.120
Fe10 0.000 0.000 0.500
Fe11 0.751 0.249 0.757
Fe12 0.869 0.615 0.120
Fe13 0.751 0.249 0.243
Fe14 0.137 0.383 0.370
Fe15 0.863 0.617 0.630
Fe16 0.617 0.863 0.630
Fe17 0.869 0.615 0.880
Fe18 0.385 0.131 0.120
Fe19 0.615 0.869 0.880
Fe20 0.615 0.869 0.120
Fe21 0.000 0.000 0.000
Fe22 0.500 0.500 0.500
Fe23 0.500 0.500 0.000
Fe24 0.131 0.385 0.880
Be1 0.500 0.500 0.244
Be2 0.755 0.245 0.000
Be3 0.500 0.500 0.756
Be4 0.245 0.755 0.000
Zn1 0.000 0.000 0.247
Zn2 0.000 0.000 0.753
Zn3 0.245 0.755 0.500
Zn4 0.755 0.245 0.500

Results
E_form (eV/atom): 0.0314
N(E_F) (states/eV per atom): 0.94
VASP energy (eV for the cell shown): -236.4

***

Material: Y2CrSe
Method: DFT, GGA-PBEsol
State: relaxed

Unit cell a=3.253 b=3.253 c=7.948 alpha=90.00 beta=90.00 gamma=90.00
Sites, in units of the cell vectors:
Y1 0.500 0.500 0.312
Y2 0.000 0.000 0.940
Se1 0.500 0.500 0.689
Cr1 0.000 0.000 0.559

Results
Energy relative to the elements, uncorrected (eV/atom): -0.1754
N(E_F) (states/eV per atom): 1.21
VASP energy (eV for the cell shown): -28.4

***

Material: CrP2BrCl
Method: DFT, GGA-PBEsol
State: relaxed

Unit cell a=4.446 b=4.446 c=4.566 alpha=90.00 beta=90.00 gamma=90.00
Sites, in units of the cell vectors:
P1 0.500 0.000 0.000
P2 0.000 0.500 0.000
Cl1 0.000 0.000 0.500
Cr1 0.000 0.000 0.000
Br1 0.500 0.500 0.500

Results
Energy relative to the elements, uncorrected (eV/atom): 0.1784
N(E_F) (states/eV per atom): 0.61
VASP energy (eV for the cell shown): -24.8

***

Material: Cd2SbAs
Method: DFT, GGA-PBEsol
State: relaxed

Unit cell a=3.294 b=4.332 c=6.468 alpha=90.00 beta=102.97 gamma=90.00
Sites, in units of the cell vectors:
Sb1 0.500 0.500 0.000
As1 0.500 0.500 0.500
Cd1 0.024 0.000 0.267
Cd2 0.976 0.000 0.733

Results
Energy relative to the elements, uncorrected (eV/atom): 0.1803
N(E_F) (states/eV per atom): 0.44
VASP energy (eV for the cell shown): -11.3

***

Material: Ba2ScCl
Method: DFT, GGA-PBEsol
State: relaxed

Unit cell a=5.818 b=5.818 c=5.818 alpha=60.00 beta=60.00 gamma=60.00
Sites, in units of the cell vectors:
Ba1 0.750 0.750 0.750
Ba2 0.000 0.000 0.000
Cl1 0.500 0.500 0.500
Sc1 0.250 0.250 0.250

Results
Energy relative to the elements, uncorrected (eV/atom): 0.0638
N(E_F) (states/eV per atom): 1.77
VASP energy (eV for the cell shown): -12.7

***

Material: NaSiSn3
Method: DFT, GGA-PBEsol
State: relaxed

Unit cell a=5.270 b=5.270 c=5.270 alpha=90.00 beta=90.00 gamma=90.00
Sites, in units of the cell vectors:
Si1 0.000 0.000 0.000
Sn1 0.000 0.500 0.000
Sn2 0.000 0.000 0.500
Sn3 0.500 0.000 0.000
Na1 0.500 0.500 0.500

Results
Energy relative to the elements, uncorrected (eV/atom): 0.3195
N(E_F) (states/eV per atom): 0.82
VASP energy (eV for the cell shown): -18.3

***

Material: LaMgAl2
Method: DFT, GGA-PBEsol
State: relaxed

Unit cell a=3.434 b=3.434 c=7.736 alpha=90.00 beta=90.00 gamma=90.00
Sites, in units of the cell vectors:
Al1 0.000 0.000 0.025
Al2 0.500 0.500 0.197
Mg1 0.500 0.500 0.804
La1 0.000 0.000 0.474

Results
E_form (eV/atom): -0.1217
N(E_F) (states/eV per atom): 0.45
VASP energy (eV for the cell shown): -15.7

***

Material: Ag5Br3
Method: DFT, GGA-PBEsol
State: relaxed

Unit cell a=7.426 b=7.426 c=8.226 alpha=102.45 beta=102.45 gamma=116.14
Sites, in units of the cell vectors:
Br1 0.282 0.282 0.065
Br2 0.942 0.454 0.298
Br3 0.788 0.788 0.066
Br4 0.675 0.187 0.827
Br5 0.454 0.942 0.298
Br6 0.187 0.675 0.827
Ag1 0.551 0.769 0.748
Ag2 0.244 0.026 0.747
Ag3 0.366 0.584 0.378
Ag4 0.890 0.108 0.377
Ag5 0.769 0.551 0.748
Ag6 0.584 0.366 0.378
Ag7 0.026 0.244 0.747
Ag8 0.108 0.890 0.377
Ag9 0.325 0.325 0.580
Ag10 0.810 0.810 0.545

Results
Energy relative to the elements, uncorrected (eV/atom): -0.1350
VASP energy (eV for the cell shown): -46.5

***

Material: Er5Sb3
Method: DFT, GGA-PBEsol
State: relaxed

Unit cell a=6.132 b=8.773 c=8.773 alpha=120.00 beta=90.00 gamma=90.00
Sites, in units of the cell vectors:
Er1 0.250 0.000 0.754
Er2 0.000 0.667 0.333
Er3 0.500 0.667 0.333
Er4 0.250 0.754 0.000
Er5 0.750 0.754 0.754
Er6 0.250 0.246 0.246
Er7 0.750 0.000 0.246
Er8 0.750 0.246 0.000
Er9 0.500 0.333 0.667
Er10 0.000 0.333 0.667
Sb1 0.750 0.000 0.610
Sb2 0.250 0.000 0.390
Sb3 0.250 0.610 0.610
Sb4 0.250 0.390 0.000
Sb5 0.750 0.390 0.390
Sb6 0.750 0.610 0.000

Results
Energy relative to the elements, uncorrected (eV/atom): -0.9451
N(E_F) (states/eV per atom): 0.86
VASP energy (eV for the cell shown): -91.7

***

Material: MgTlGaO2
Method: DFT, GGA-PBEsol
State: relaxed

Unit cell a=3.902 b=3.902 c=5.456 alpha=90.00 beta=90.00 gamma=90.00
Sites, in units of the cell vectors:
Mg1 0.000 0.000 0.500
O1 0.000 0.500 0.000
O2 0.500 0.000 0.000
Ga1 0.000 0.000 0.000
Tl1 0.500 0.500 0.500

Results
Energy relative to the elements, uncorrected (eV/atom): -0.3685
N(E_F) (states/eV per atom): 0.33
VASP energy (eV for the cell shown): -20.0

***

Material: LiLa2Cd2
Method: DFT, GGA-PBEsol
State: relaxed

Unit cell a=5.081 b=7.326 c=7.326 alpha=90.00 beta=90.00 gamma=90.00
Sites, in units of the cell vectors:
Li1 0.000 0.500 0.500
Li2 0.000 0.000 0.000
La1 0.500 0.849 0.349
La2 0.500 0.651 0.849
La3 0.500 0.349 0.151
La4 0.500 0.151 0.651
Cd1 0.000 0.854 0.646
Cd2 0.000 0.354 0.854
Cd3 0.000 0.146 0.354
Cd4 0.000 0.646 0.146

Results
E_form (eV/atom): -0.1910
N(E_F) (states/eV per atom): 1.06
VASP energy (eV for the cell shown): -32.0

***

Material: Rb3CaCr
Method: DFT, GGA-PBEsol
State: relaxed

Unit cell a=6.884 b=6.884 c=6.884 alpha=90.00 beta=90.00 gamma=90.00
Sites, in units of the cell vectors:
Ca1 0.500 0.500 0.500
Cr1 0.000 0.000 0.000
Rb1 0.500 0.000 0.000
Rb2 0.000 0.000 0.500
Rb3 0.000 0.500 0.000

Results
E_form (eV/atom): 0.8566
N(E_F) (states/eV per atom): 0.90
VASP energy (eV for the cell shown): -11.2

***

Material: AgHgIO2
Method: DFT, GGA-PBEsol
State: relaxed

Unit cell a=4.085 b=4.085 c=6.808 alpha=90.00 beta=90.00 gamma=90.00
Sites, in units of the cell vectors:
O1 0.500 0.000 0.000
O2 0.000 0.500 0.000
Ag1 0.500 0.500 0.500
I1 0.000 0.000 0.500
Hg1 0.000 0.000 0.000

Results
Energy relative to the elements, uncorrected (eV/atom): 0.4143
N(E_F) (states/eV per atom): 0.82
VASP energy (eV for the cell shown): -14.1

***

Material: In2IBr
Method: DFT, GGA-PBEsol
State: relaxed

Unit cell a=5.631 b=5.631 c=5.631 alpha=60.00 beta=60.00 gamma=60.00
Sites, in units of the cell vectors:
Br1 0.000 0.000 0.000
I1 0.500 0.500 0.500
In1 0.250 0.250 0.250
In2 0.750 0.750 0.750

Results
Energy relative to the elements, uncorrected (eV/atom): -0.4573
VASP energy (eV for the cell shown): -11.4

***

Material: Na2MgTcBi
Method: DFT, GGA-PBEsol
State: relaxed

Unit cell a=4.986 b=5.078 c=5.078 alpha=90.00 beta=90.00 gamma=90.00
Sites, in units of the cell vectors:
Na1 0.000 0.500 0.000
Na2 0.000 0.000 0.500
Mg1 0.000 0.000 0.000
Bi1 0.500 0.500 0.500
Tc1 0.500 0.000 0.000

Results
E_form (eV/atom): 1.0398
N(E_F) (states/eV per atom): 0.59
VASP energy (eV for the cell shown): -14.9

***

Material: NaS2Br
Method: DFT, GGA-PBEsol
State: relaxed

Unit cell a=4.822 b=4.822 c=5.638 alpha=64.68 beta=64.68 gamma=60.00
Sites, in units of the cell vectors:
S1 0.180 0.180 0.461
S2 0.820 0.820 0.539
Br1 0.500 0.500 0.500
Na1 0.000 0.000 0.000

Results
Energy relative to the elements, uncorrected (eV/atom): 0.0541
N(E_F) (states/eV per atom): 0.32
VASP energy (eV for the cell shown): -11.8

***

Material: Cr2BSe
Method: DFT, GGA-PBEsol
State: relaxed

Unit cell a=5.032 b=5.032 c=6.058 alpha=114.54 beta=114.54 gamma=90.00
Sites, in units of the cell vectors:
Cr1 0.625 0.558 0.750
Cr2 0.125 0.192 0.750
Cr3 0.442 0.875 0.250
Cr4 0.808 0.375 0.250
B1 0.500 0.500 0.000
B2 0.750 0.250 0.500
Se1 0.000 0.000 0.000
Se2 0.250 0.750 0.500

Results
Energy relative to the elements, uncorrected (eV/atom): 0.4898
N(E_F) (states/eV per atom): 0.72
VASP energy (eV for the cell shown): -58.8

***

Material: Li2CdSi
Method: DFT, GGA-PBEsol
State: relaxed

Unit cell a=2.826 b=4.468 c=4.964 alpha=90.00 beta=90.00 gamma=90.00
Sites, in units of the cell vectors:
Si1 0.500 0.000 0.546
Li1 0.000 0.500 0.707
Li2 0.000 0.000 0.032
Cd1 0.500 0.500 0.215

Results
Energy relative to the elements, uncorrected (eV/atom): -0.1820
N(E_F) (states/eV per atom): 0.32
VASP energy (eV for the cell shown): -11.6